AcLaV2O8 | PBE with a Hubbard U | optimized geometry

Geometry as POSCAR:
```
AcLaV2O8
1.0
-3.607 0.241 -4.504
4.803 -3.192 -0.315
-3.776 -5.948 2.706
O V Ac La
8 2 1 1
Cartesian
-1.770 -5.361 1.126
0.653 -6.969 0.974
-1.162 -6.852 -1.301
-3.233 -1.930 -3.086
-4.492 -6.713 -0.464
1.912 -2.185 -1.648
-1.418 -2.047 -0.812
-0.810 -3.537 -3.238
-1.024 -6.810 0.455
-1.557 -2.089 -2.568
0.000 0.000 0.000
-1.888 -2.974 1.353
```

Total energy = -7.95 eV/atom
Total moment = 0.000 μB per cell